Entry 1:
Crystalline GeBiCl6 at its relaxed geometry, computed with GGA-PBE.

```
GeBiCl6
1.0
6.439 0.129 0.000
1.703 6.219 0.000
0.851 3.109 6.374
Bi Cl Ge
1 6 1
Cartesian
0.000 0.000 0.000
2.978 4.566 1.781
5.164 1.782 1.781
6.015 4.891 4.593
2.147 1.663 0.000
5.995 4.684 0.000
3.830 7.676 4.593
4.071 3.174 0.000
```

Volume (Å³ per cell): 253.81
Total magnetic moment (μB per formula unit): 0.00
Crystal system: monoclinic
Uncorrected formation energy (eV/atom): -0.780

---

Entry 2:
Crystalline GeBi3Cl at its relaxed geometry, computed with GGA-PBE.

```
GeBi3Cl
1.0
5.562 0.000 0.000
0.000 5.562 0.000
0.000 0.000 5.562
Bi Cl Ge
3 1 1
Cartesian
2.781 0.000 0.000
0.000 0.000 2.781
0.000 2.781 0.000
2.781 2.781 2.781
0.000 0.000 0.000
```

Volume (Å³ per cell): 172.05
Total magnetic moment (μB per formula unit): 0.00
Relative energy among the computed polymorphs (meV per atom): 0.0
Crystal system: cubic
Uncorrected formation energy (eV/atom): 0.438

---

Entry 3:
Crystalline GeBiCl4 at its relaxed geometry, computed with GGA-PBE.

```
GeBiCl4
1.0
6.879 -0.004 0.000
-1.218 6.810 0.000
-2.831 -3.403 8.303
Bi Cl Ge
2 8 2
Cartesian
1.111 3.404 1.955
1.720 -0.001 6.348
-0.902 5.060 1.088
3.124 1.748 1.088
3.366 2.056 5.476
-0.535 1.347 2.827
-0.293 1.655 7.215
2.757 5.461 2.827
3.733 -1.657 7.215
0.074 -2.058 5.476
5.160 -0.003 1.180
-2.329 3.406 7.124
```

Volume (Å³ per cell): 388.96
Total magnetic moment (μB per formula unit): 1.01
Crystal system: monoclinic
Uncorrected formation energy (eV/atom): -0.664